# 1
Pm5Pr2Al | GGA-PBE | relaxed

Unit cell a=10.967 b=10.967 c=10.967 alpha=153.78 beta=153.78 gamma=37.41
Element x y z (fractional)
Pm1 0.000 0.000 0.000
Pm2 0.117 0.617 0.500
Pm3 0.383 0.883 0.500
Pm4 0.617 0.117 0.500
Pm5 0.883 0.383 0.500
Pr1 0.246 0.246 0.000
Pr2 0.754 0.754 0.000
Al1 0.500 0.500 0.000

Summary:
Energy relative to the elements in eV per formula unit: -0.41
Crystal system: tetragonal

***

# 2
BaHgAs2 | GGA-PBE | relaxed

Unit cell a=4.928 b=4.317 c=6.021 alpha=90.00 beta=96.12 gamma=90.00
Element x y z (fractional)
Ba1 0.000 0.000 0.000
Hg1 0.500 0.000 0.500
As1 0.436 0.500 0.794
As2 0.564 0.500 0.206

Summary:
Energy relative to the elements in eV per formula unit: -1.89
Crystal system: monoclinic

***

# 3
Y2MgSb | GGA-PBE | relaxed

Unit cell a=3.768 b=3.768 c=7.917 alpha=90.00 beta=90.00 gamma=90.00
Element x y z (fractional)
Y1 0.000 0.000 0.000
Y2 0.500 0.500 0.305
Mg1 0.000 0.000 0.565
Sb1 0.500 0.500 0.750

Summary:
ΔE to the lowest computed polymorph in eV per atom: 0.283
Formation energy from raw total energies in eV/f.u.: -1.25
Crystal system: tetragonal

***

# 4
LiCaRh2 | GGA-PBE | relaxed

Unit cell a=3.973 b=3.973 c=4.208 alpha=90.00 beta=90.00 gamma=90.00
Element x y z (fractional)
Li1 0.000 0.000 0.000
Ca1 0.500 0.500 0.000
Rh1 0.000 0.500 0.500
Rh2 0.500 0.000 0.500

Summary:
Energy relative to the elements in eV per formula unit: -0.42
Crystal system: tetragonal

***

Computed density, in the same sequence as the records: 6679 6360 4784 6319 kg/m3.
Computed magnetic moment, in the same sequence as the records: 0.00 0.00 0.13 0.00 μB per atom.
Computed energy, in the same sequence as the records: -37.464 -13.418 -19.892 -19.035 eV per formula unit.